Entry from Alexandria via LeMat-Bulk: crystalline KLa2Ag at its relaxed geometry (PBE-GGA).

Computed properties:
Its excess energy over the best structure of this formula in the dataset is 0.122 eV per formula unit. For the density of states at the Fermi level, the calculation gives 5.060 states/eV/f.u. As for the crystal system: monoclinic. As for the formation energy: 0.080 eV/atom. Its size of the total moment is 0.219 μB/atom.

Cell lengths 3.910, 3.763, 11.287 Å; angles 71.25, 90.00, 90.00 degrees
Last column: magnetic moment on the atom in μB.
Fractional coordinates of all 4 atoms:
Ag: 0.500 0.250 0.250  0.03
K: 0.500 0.750 0.750  0.01
La: 0.000 0.911 0.085  0.19
La: 0.000 0.589 0.415  0.19